# 1
Ac4Cd3Ge after structural relaxation. Source: Alexandria, functional GGA-PBE.

Computed properties:
The calculation puts the total energy at -3.34 eV per atom. As for the formation energy: -0.361 eV per atom. As for the volume: 261.92 Å³/cell. For the density of states at the Fermi level, the calculation gives 1.246 states/eV per atom. The crystal system is tetragonal.

Unit cell a=4.056 b=4.056 c=15.921 alpha=90.00 beta=90.00 gamma=90.00
Element x y z (fractional)
1 Ac 0.000 0.000 0.108
2 Ac 0.000 0.000 0.372
3 Ac 0.000 0.000 0.628
4 Ac 0.000 0.000 0.892
5 Cd 0.500 0.500 0.244
6 Cd 0.500 0.500 0.500
7 Cd 0.500 0.500 0.756
8 Ge 0.500 0.500 0.000


# 2
Ac2CdGe3 after structural relaxation. Source: Alexandria, functional GGA-PBE.

Computed properties:
The calculation puts the total energy at -4.38 eV per atom. As for the excess energy over the best structure of this formula in the dataset: 42 meV per atom. As for the formation energy: -0.554 eV per atom. As for the volume: 324.47 Å³/cell. For the density of states at the Fermi level, the calculation gives 0.472 states/eV per atom. The crystal system is orthorhombic.

Unit cell a=9.081 b=9.049 c=6.433 alpha=69.48 beta=68.95 gamma=41.57
Element x y z (fractional)
1 Ac 0.241 0.759 0.759
2 Ac 0.250 0.250 0.250
3 Ac 0.750 0.750 0.750
4 Ac 0.759 0.241 0.241
5 Cd 0.335 0.335 0.665
6 Cd 0.665 0.665 0.335
7 Ge 0.164 0.164 0.836
8 Ge 0.166 0.670 0.330
9 Ge 0.330 0.834 0.166
10 Ge 0.670 0.166 0.834
11 Ge 0.834 0.330 0.670
12 Ge 0.836 0.836 0.164


# 3
Ac2Cd6Ge3 after structural relaxation. Source: Alexandria, functional GGA-PBE.

Computed properties:
The calculation puts the total energy at -2.85 eV per atom. As for the formation energy: -0.341 eV per atom. As for the volume: 273.25 Å³/cell. For the density of states at the Fermi level, the calculation gives 0.181 states/eV per atom. The crystal system is hexagonal.

Unit cell a=8.456 b=8.456 c=4.413 alpha=90.00 beta=90.00 gamma=120.00
Element x y z (fractional)
1 Ac 0.333 0.667 0.000
2 Ac 0.667 0.333 0.000
3 Cd 0.000 0.198 0.000
4 Cd 0.000 0.714 0.500
5 Cd 0.198 0.000 0.000
6 Cd 0.286 0.286 0.500
7 Cd 0.714 0.000 0.500
8 Cd 0.802 0.802 0.000
9 Ge 0.000 0.393 0.500
10 Ge 0.393 0.000 0.500
11 Ge 0.607 0.607 0.500


# 4
Ac3CdGe2 after structural relaxation. Source: Alexandria, functional GGA-PBE.

Computed properties:
The calculation puts the total energy at -4.13 eV per atom. As for the excess energy over the best structure of this formula in the dataset: 77 meV per atom. As for the formation energy: -0.384 eV per atom. As for the volume: 187.15 Å³/cell. For the density of states at the Fermi level, the calculation gives 0.746 states/eV per atom. The crystal system is orthorhombic.

Unit cell a=8.879 b=8.879 c=4.563 alpha=90.00 beta=90.00 gamma=148.65
Element x y z (fractional)
1 Ac 0.000 0.000 0.000
2 Ac 0.171 0.829 0.500
3 Ac 0.829 0.171 0.500
4 Cd 0.500 0.500 0.500
5 Ge 0.355 0.645 0.000
6 Ge 0.645 0.355 0.000


# 5
Ac2Cd2Ge3 after structural relaxation. Source: Alexandria, functional GGA-PBE.

Computed properties:
The calculation puts the total energy at -3.90 eV per atom. As for the formation energy: -0.483 eV per atom. As for the volume: 390.83 Å³/cell. For the density of states at the Fermi level, the calculation gives 0.577 states/eV per atom. The crystal system is monoclinic.

Unit cell a=8.686 b=8.686 c=12.832 alpha=125.19 beta=125.19 gamma=30.21
Element x y z (fractional)
1 Ac 0.105 0.105 0.443
2 Ac 0.234 0.234 0.835
3 Ac 0.766 0.766 0.165
4 Ac 0.895 0.895 0.557
5 Cd 0.090 0.090 0.153
6 Cd 0.455 0.455 0.183
7 Cd 0.545 0.545 0.817
8 Cd 0.910 0.910 0.847
9 Ge 0.122 0.122 0.966
10 Ge 0.337 0.337 0.686
11 Ge 0.424 0.424 0.382
12 Ge 0.576 0.576 0.618
13 Ge 0.663 0.663 0.314
14 Ge 0.878 0.878 0.034


# 6
Ac2CdGe after structural relaxation. Source: Alexandria, functional GGA-PBE.

Computed properties:
The calculation puts the total energy at -3.91 eV per atom. As for the formation energy: -0.476 eV per atom. As for the volume: 261.24 Å³/cell. For the density of states at the Fermi level, the calculation gives 1.083 states/eV per atom. The crystal system is monoclinic.

Unit cell a=6.535 b=4.492 c=9.374 alpha=90.00 beta=108.33 gamma=90.00
Element x y z (fractional)
1 Ac 0.206 0.250 0.428
2 Ac 0.283 0.750 0.071
3 Ac 0.717 0.250 0.929
4 Ac 0.794 0.750 0.572
5 Cd 0.350 0.750 0.717
6 Cd 0.650 0.250 0.283
7 Ge 0.128 0.250 0.794
8 Ge 0.872 0.750 0.206